Record 1
{
  "formula": "LiCoPb2",
  "functional": "PBE",
  "state": "relaxed",
  "dos_ef_per_ev_atom": 0.850,
  "spacegroup": "Pmm2, No. 25",
  "formation_enthalpy_0k_ev_per_atom": 0.249,
  "lattice": [[3.556, 0.000, 0.000], [0.000, 4.031, 0.000], [0.000, 0.000, 5.668]],
  "species": ["Li", "Co", "Pb", "Pb"],
  "fractional_positions": [[0.000, 0.000, 0.000], [0.500, 0.500, 0.716], [0.000, 0.000, 0.542], [0.500, 0.500, 0.195]]
}


Record 2
{
  "formula": "Sr2LiPtF",
  "functional": "PBE",
  "state": "relaxed",
  "dos_ef_per_ev_atom": 0.613,
  "spacegroup": "P4/mmm, No. 123",
  "e_form_raw_ev_per_atom": -1.403,
  "lattice": [[5.183, 0.000, 0.000], [0.000, 5.183, 0.000], [0.000, 0.000, 4.067]],
  "species": ["Sr", "Sr", "Li", "Pt", "F"],
  "fractional_positions": [[0.000, 0.500, 0.000], [0.500, 0.000, 0.000], [0.000, 0.000, 0.500], [0.500, 0.500, 0.500], [0.000, 0.000, 0.000]]
}


Record 3
{
  "formula": "Rb2ZrCdSe4",
  "functional": "PBE",
  "state": "relaxed",
  "dos_ef_per_ev_atom": 0.000,
  "spacegroup": "Fddd, No. 70",
  "e_form_raw_ev_per_atom": -1.145,
  "lattice": [[0.000, 7.314, 12.551], [3.196, 0.000, 12.551], [3.196, 7.314, 0.000]],
  "species": ["Rb", "Rb", "Rb", "Rb", "Zr", "Zr", "Cd", "Cd", "Se", "Se", "Se", "Se", "Se", "Se", "Se", "Se"],
  "fractional_positions": [[0.056, 0.056, 0.694], [0.306, 0.306, 0.944], [0.694, 0.694, 0.056], [0.944, 0.944, 0.306], [0.125, 0.125, 0.125], [0.875, 0.875, 0.875], [0.375, 0.375, 0.375], [0.625, 0.625, 0.625], [0.054, 0.310, 0.403], [0.267, 0.597, 0.690], [0.310, 0.054, 0.733], [0.403, 0.733, 0.054], [0.597, 0.267, 0.946], [0.690, 0.946, 0.267], [0.733, 0.403, 0.310], [0.946, 0.690, 0.597]]
}


Record 4
{
  "formula": "Dy2YV",
  "functional": "PBE",
  "state": "relaxed",
  "dos_ef_per_ev_atom": 1.693,
  "spacegroup": "R-3m, No. 166",
  "formation_enthalpy_0k_ev_per_atom": 0.614,
  "lattice": [[1.691, 0.976, 11.431], [-1.691, 0.976, 11.431], [0.000, -1.953, 11.431]],
  "species": ["Dy", "Dy", "Y", "V"],
  "fractional_positions": [[0.082, 0.082, 0.082], [0.918, 0.918, 0.918], [0.500, 0.500, 0.500], [0.000, 0.000, 0.000]]
}


Record 5
{
  "formula": "AlCrAsPd2",
  "functional": "PBE",
  "state": "relaxed",
  "dos_ef_per_ev_atom": 1.022,
  "spacegroup": "P4/mmm, No. 123",
  "formation_enthalpy_0k_ev_per_atom": 0.639,
  "lattice": [[4.720, 0.000, 0.000], [0.000, 4.720, 0.000], [0.000, 0.000, 4.487]],
  "species": ["Al", "Cr", "As", "Pd", "Pd"],
  "fractional_positions": [[0.000, 0.000, 0.000], [0.500, 0.500, 0.500], [0.500, 0.500, 0.000], [0.000, 0.500, 0.500], [0.500, 0.000, 0.500]]
}


Record 6
{
  "formula": "NbHgI5",
  "functional": "PBE",
  "state": "relaxed",
  "spacegroup": "Imm2, No. 44",
  "e_form_raw_ev_per_atom": -0.314,
  "lattice": [[-4.395, 6.107, 3.940], [4.395, -6.107, 3.940], [4.395, 6.107, -3.940]],
  "species": ["Nb", "Hg", "I", "I", "I", "I", "I"],
  "fractional_positions": [[0.000, 0.000, 0.000], [0.707, 0.207, 0.500], [0.178, 0.435, 0.257], [0.178, 0.920, 0.743], [0.208, 0.985, 0.223], [0.658, 0.658, 0.000], [0.761, 0.985, 0.777]]
}